# LaHg2Pt PBE-GGA optimized geometry
data_LaHg2Pt
_cell_length_a 4.030
_cell_length_b 4.037
_cell_length_c 6.645
_cell_angle_alpha 90.00
_cell_angle_beta 107.63
_cell_angle_gamma 90.00
_space_group_name_H-M_alt 'P 1 m 1'
_space_group_IT_number 6
_space_group_name_Hall 'P -2y'
loop_
_atom_site_label
_atom_site_fract_x
_atom_site_fract_y
_atom_site_fract_z
_atom_site_occupancy
La1 0.000 0.000 0.000 1
Hg1 0.334 0.500 0.666 1
Hg2 0.727 0.000 0.458 1
Pt1 0.565 0.500 0.131 1
# Density of states at the Fermi level = 1.5 states/eV/cell
# ΔE_f = -2.30 eV per formula unit
# Total magnetization = 0.0 μB/cell

---

# Dy3Tm6Tl PBE-GGA optimized geometry
data_Dy3Tm6Tl
_cell_length_a 10.458
_cell_length_b 19.010
_cell_length_c 6.124
_cell_angle_alpha 90.00
_cell_angle_beta 90.00
_cell_angle_gamma 90.00
_space_group_name_H-M_alt 'C m c 21'
_space_group_IT_number 36
_space_group_name_Hall 'C 2c -2'
loop_
_atom_site_label
_atom_site_fract_x
_atom_site_fract_y
_atom_site_fract_z
_atom_site_occupancy
Dy1 0.000 0.104 0.000 1
Dy2 0.167 0.380 0.658 1
Tm1 0.000 0.214 0.427 1
Tm2 0.000 0.442 0.170 1
Tm3 0.168 0.041 0.526 1
Tm4 0.234 0.302 0.190 1
Tl1 0.000 0.264 0.916 1
# Density of states at the Fermi level = 46.2 states/eV/cell
# ΔE to the lowest computed polymorph = 0.23 eV per formula unit
# ΔE_f = 0.43 eV per formula unit
# Total magnetization = 0.0 μB/cell

---

# Ac3Ga2Rh3 PBE-GGA optimized geometry
data_Ac3Ga2Rh3
_cell_length_a 4.505
_cell_length_b 11.487
_cell_length_c 15.251
_cell_angle_alpha 90.00
_cell_angle_beta 90.00
_cell_angle_gamma 90.00
_space_group_name_H-M_alt 'C m c m'
_space_group_IT_number 63
_space_group_name_Hall '-C 2c 2'
loop_
_atom_site_label
_atom_site_fract_x
_atom_site_fract_y
_atom_site_fract_z
_atom_site_occupancy
Ac1 0.000 0.091 0.106 1
Ac2 0.000 0.373 0.250 1
Ga1 0.000 0.201 0.601 1
Rh1 0.000 0.322 0.750 1
Rh2 0.000 0.339 0.033 1
# Density of states at the Fermi level = 21.2 states/eV/cell
# ΔE_f = -5.46 eV per formula unit
# Total magnetization = 0.0 μB/cell

---

# NaY5Au6 PBE-GGA optimized geometry
data_NaY5Au6
_cell_length_a 5.043
_cell_length_b 15.323
_cell_length_c 7.205
_cell_angle_alpha 90.00
_cell_angle_beta 90.00
_cell_angle_gamma 90.00
_space_group_name_H-M_alt 'C m m m'
_space_group_IT_number 65
_space_group_name_Hall '-C 2 2'
loop_
_atom_site_label
_atom_site_fract_x
_atom_site_fract_y
_atom_site_fract_z
_atom_site_occupancy
Na1 0.000 0.000 0.000 1
Y1 0.000 0.000 0.500 1
Y2 0.000 0.334 0.500 1
Y3 0.000 0.340 0.000 1
Au1 0.000 0.175 0.251 1
Au2 0.000 0.500 0.266 1
# Density of states at the Fermi level = 15.2 states/eV/cell
# ΔE_f = -9.32 eV per formula unit
# Total magnetization = 0.0 μB/cell

---

# Ce5SnRu3 PBE-GGA optimized geometry
data_Ce5SnRu3
_cell_length_a 12.411
_cell_length_b 8.765
_cell_length_c 9.855
_cell_angle_alpha 90.00
_cell_angle_beta 112.34
_cell_angle_gamma 90.00
_space_group_name_H-M_alt 'C 1 2/m 1'
_space_group_IT_number 12
_space_group_name_Hall '-C 2y'
loop_
_atom_site_label
_atom_site_fract_x
_atom_site_fract_y
_atom_site_fract_z
_atom_site_occupancy
Ce1 0.000 0.205 0.000 1
Ce2 0.042 0.000 0.346 1
Ce3 0.174 0.307 0.642 1
Ce4 0.232 0.500 0.051 1
Sn1 0.086 0.500 0.294 1
Ru1 0.000 0.500 0.000 1
Ru2 0.000 0.500 0.500 1
Ru3 0.169 0.000 0.163 1
Ru4 0.176 0.000 0.603 1
# Density of states at the Fermi level = 86.1 states/eV/cell
# ΔE_f = -2.27 eV per formula unit
# Total magnetization = 11.5 μB/cell

---

# La2BeCl PBE-GGA optimized geometry
data_La2BeCl
_cell_length_a 4.2177
_cell_length_b 4.2177
_cell_length_c 21.1268
_cell_angle_alpha 90.00
_cell_angle_beta 90.00
_cell_angle_gamma 120.00
_space_group_name_H-M_alt 'R -3 m'
_space_group_IT_number 166
_space_group_name_Hall '-R 3 2"'
loop_
_atom_site_label
_atom_site_fract_x
_atom_site_fract_y
_atom_site_fract_z
_atom_site_occupancy
La1 0.0000 0.0000 0.2475 1
Be1 0.0000 0.0000 0.5000 1
Cl1 0.0000 0.0000 0.0000 1
# ΔE_f (raw) = -629 meV/atom
# Density of states at the Fermi level = 13.2 states/eV/cell
# ΔE to the lowest computed polymorph = 0.23 eV per formula unit
# Total magnetization = 0.0 μB/cell

---

# Pu3S3N PBE-GGA optimized geometry
data_Pu3S3N
_cell_length_a 7.712
_cell_length_b 6.902
_cell_length_c 10.948
_cell_angle_alpha 90.00
_cell_angle_beta 99.77
_cell_angle_gamma 90.00
_space_group_name_H-M_alt 'P 1 21/c 1'
_space_group_IT_number 14
_space_group_name_Hall '-P 2ybc'
loop_
_atom_site_label
_atom_site_fract_x
_atom_site_fract_y
_atom_site_fract_z
_atom_site_occupancy
Pu1 0.068 0.064 0.361 1
Pu2 0.250 0.616 0.506 1
Pu3 0.391 0.074 0.659 1
S1 0.099 0.180 0.119 1
S2 0.273 0.739 0.776 1
S3 0.405 0.241 0.916 1
N1 0.180 0.579 0.037 1
# ΔE_f (raw) = -1518 meV/atom
# Density of states at the Fermi level = 84.6 states/eV/cell
# ΔE to the lowest computed polymorph = 0.10 eV per formula unit
# Total magnetization = 20.5 μB/cell

---

# Ba2PuAgS5 PBE-GGA optimized geometry
data_Ba2PuAgS5
_cell_length_a 4.166
_cell_length_b 18.119
_cell_length_c 12.833
_cell_angle_alpha 90.00
_cell_angle_beta 90.00
_cell_angle_gamma 90.00
_space_group_name_H-M_alt 'C m c 21'
_space_group_IT_number 36
_space_group_name_Hall 'C 2c -2'
loop_
_atom_site_label
_atom_site_fract_x
_atom_site_fract_y
_atom_site_fract_z
_atom_site_occupancy
Ba1 0.000 0.112 0.000 1
Ba2 0.000 0.123 0.625 1
Pu1 0.000 0.204 0.326 1
Ag1 0.000 0.440 0.749 1
S1 0.000 0.064 0.359 1
S2 0.000 0.289 0.962 1
S3 0.000 0.301 0.689 1
S4 0.000 0.347 0.316 1
S5 0.000 0.498 0.078 1
# ΔE_f (raw) = -1407 meV/atom
# Density of states at the Fermi level = 27.0 states/eV/cell
# Total magnetization = 12.0 μB/cell

---

# Zr2MnRe PBE-GGA optimized geometry
data_Zr2MnRe
_cell_length_a 3.319
_cell_length_b 4.865
_cell_length_c 8.569
_cell_angle_alpha 90.00
_cell_angle_beta 90.00
_cell_angle_gamma 90.00
_space_group_name_H-M_alt 'I m m m'
_space_group_IT_number 71
_space_group_name_Hall '-I 2 2'
loop_
_atom_site_label
_atom_site_fract_x
_atom_site_fract_y
_atom_site_fract_z
_atom_site_occupancy
Zr1 0.000 0.000 0.240 1
Mn1 0.000 0.500 0.500 1
Re1 0.000 0.500 0.000 1
# Density of states at the Fermi level = 8.4 states/eV/cell
# ΔE_f = 0.57 eV per formula unit
# Total magnetization = 1.7 μB/cell

---

# NaLiCeSn PBE-GGA optimized geometry
data_NaLiCeSn
_cell_length_a 7.471
_cell_length_b 7.471
_cell_length_c 7.471
_cell_angle_alpha 90.00
_cell_angle_beta 90.00
_cell_angle_gamma 90.00
_space_group_name_H-M_alt 'F -4 3 m'
_space_group_IT_number 216
_space_group_name_Hall 'F -4 2 3'
loop_
_atom_site_label
_atom_site_fract_x
_atom_site_fract_y
_atom_site_fract_z
_atom_site_occupancy
Na1 0.000 0.000 0.000 1
Li1 0.250 0.250 0.750 1
Ce1 0.250 0.250 0.250 1
Sn1 0.000 0.000 0.500 1
# Density of states at the Fermi level = 35.2 states/eV/cell
# ΔE_f = -0.78 eV per formula unit
# Total magnetization = 4.6 μB/cell

---

# Te2I2Br PBE-GGA optimized geometry
data_Te2I2Br
_cell_length_a 8.039
_cell_length_b 8.039
_cell_length_c 5.009
_cell_angle_alpha 90.00
_cell_angle_beta 90.00
_cell_angle_gamma 90.00
_space_group_name_H-M_alt 'P 4/m b m'
_space_group_IT_number 127
_space_group_name_Hall '-P 4 2ab'
loop_
_atom_site_label
_atom_site_fract_x
_atom_site_fract_y
_atom_site_fract_z
_atom_site_occupancy
Te1 0.130 0.370 0.000 1
I1 0.176 0.676 0.500 1
Br1 0.000 0.000 0.000 1
# ΔE_f (raw) = 181 meV/atom
# Density of states at the Fermi level = 5.1 states/eV/cell
# Total magnetization = 0.0 μB/cell

---

# Pm2AlBi PBE-GGA optimized geometry
data_Pm2AlBi
_cell_length_a 4.3402
_cell_length_b 4.3402
_cell_length_c 23.3401
_cell_angle_alpha 90.00
_cell_angle_beta 90.00
_cell_angle_gamma 120.00
_space_group_name_H-M_alt 'R -3 m'
_space_group_IT_number 166
_space_group_name_Hall '-R 3 2"'
loop_
_atom_site_label
_atom_site_fract_x
_atom_site_fract_y
_atom_site_fract_z
_atom_site_occupancy
Pm1 0.0000 0.0000 0.2504 1
Al1 0.0000 0.0000 0.5000 1
Bi1 0.0000 0.0000 0.0000 1
# Density of states at the Fermi level = 8.8 states/eV/cell
# ΔE to the lowest computed polymorph = 0.30 eV per formula unit
# ΔE_f = -1.73 eV per formula unit
# Total magnetization = 0.0 μB/cell